# 1
The following is a meta-GGA SCAN calculation of a PBEsol-optimized structure of BePRu3, from Alexandria via LeMat-Bulk. Values from VASP.

Output
Its volume is 12.861 Å³ per atom. For the formation energy, the calculation gives 15.19 kcal/mol of atoms. The symmetry is Pm-3m (221).

```
&SYSTEM
  ibrav = 0, nat = 5, ntyp = 3
/
ATOMIC_SPECIES
Ru 101.07 Ru.upf
Be 9.01 Be.upf
P 30.97 P.upf
CELL_PARAMETERS angstrom
-2.880 0.476 -2.744
-2.763 0.002 2.901
0.346 3.978 0.327
ATOMIC_POSITIONS crystal
Ru 0.000 0.500 0.000
Ru 0.000 0.000 0.500
Ru 0.500 0.000 0.000
Be 0.000 0.000 0.000
P 0.500 0.500 0.500
```

***

# 2
The following is a meta-GGA SCAN calculation of a PBEsol-optimized structure of BePRu, from Alexandria via LeMat-Bulk. Values from VASP.

Output
Its volume is 10.948 Å³ per atom. For the formation energy, the calculation gives -10.11 kcal/mol of atoms. The symmetry is I4mm (107).

```
&SYSTEM
  ibrav = 0, nat = 3, ntyp = 3
/
ATOMIC_SPECIES
Ru 101.07 Ru.upf
P 30.97 P.upf
Be 9.01 Be.upf
CELL_PARAMETERS angstrom
-2.938 0.653 0.105
-0.177 -0.314 -2.989
0.791 -3.685 1.857
ATOMIC_POSITIONS crystal
Ru 0.331 0.331 0.662
P 0.667 0.667 0.334
Be 0.002 0.002 0.004
```

***

# 3
The following is a meta-GGA SCAN calculation of a PBEsol-optimized structure of BePS2, from Alexandria via LeMat-Bulk. Values from VASP.

Output
Its volume is 13.269 Å³ per atom. For the uncorrected formation energy, the calculation gives 0.72 eV per atom. The symmetry is Fm-3m (225).

```
&SYSTEM
  ibrav = 0, nat = 4, ntyp = 3
/
ATOMIC_SPECIES
P 30.97 P.upf
S 32.06 S.upf
Be 9.01 Be.upf
CELL_PARAMETERS angstrom
-0.173 -4.212 0.153
2.281 -2.102 2.859
-1.917 -1.917 3.232
ATOMIC_POSITIONS crystal
P 0.500 0.500 0.500
S 0.250 0.250 0.250
S 0.750 0.750 0.750
Be 0.000 0.000 0.000
```

***

Number 1: magnetic moment 0.077 μB/atom, raw total energy -115.9 eV/f.u.. Number 2: magnetic moment 0.149 μB/atom, raw total energy -50.9 eV/f.u.. Number 3: magnetic moment 0.000 μB/atom, raw total energy -31.1 eV/f.u..